The following is a DFT calculation (PBE) of a relaxed structure of CrPb2Au.

Cell and atoms, written as POSCAR:
```
CrPb2Au
1.0
-3.187 -0.747 3.957
-0.025 -4.507 2.461
1.866 -0.330 4.773
Au Cr Pb
1 1 2
direct
0.500 0.500 0.500
0.250 0.250 0.250
0.000 0.000 0.000
0.750 0.750 0.750
```

**DFT formation energy**: 0.408 eV per atom
**Energy relative to the lowest polymorph listed for this composition**: 21.3 kJ per mole of atoms
**DOS(E_F)**: 3.1 states/eV per cell